Entry 1:
A plane-wave DFT calculation with PBE-GGA was carried out for an optimized crystal structure of Pr7Sm3Tm.

Results
The value obtained for the formation energy is 224 meV/atom. The energy above the most stable polymorph in this dataset is 9.3 kJ/mol of atoms. Its electronic total energy is -99.3 eV per cell.

Lattice parameters (Å, degrees): 6.0022 11.4755 11.5149 90.00 90.00 90.00
Space group Immm (No. 71)
Asymmetric unit:
Pr: 0.0000 0.0000 0.0000 [2 per cell]
Pr: 0.0000 0.2090 0.3066 [8 per cell]
Pr: 0.0000 0.5000 0.2105 [4 per cell]
Sm: 0.0000 0.0000 0.5000 [2 per cell]
Sm: 0.0000 0.2931 0.0000 [4 per cell]
Tm: 0.0000 0.5000 0.5000 [2 per cell]

Entry 2:
A plane-wave DFT calculation with PBE-GGA was carried out for an optimized crystal structure of PrSm9Tm2.

Results
The value obtained for the formation energy is 20 meV/atom. Its electronic total energy is -56.0 eV per cell.

Lattice parameters (Å, degrees): 5.1053 5.1053 15.3228 90.00 90.00 90.00
Space group P4/mmm (No. 123)
Asymmetric unit:
Pr: 0.0000 0.0000 0.0000 [1 per cell]
Sm: 0.0000 0.5000 0.1698 [4 per cell]
Sm: 0.0000 0.5000 0.5000 [2 per cell]
Sm: 0.5000 0.5000 0.0000 [1 per cell]
Sm: 0.5000 0.5000 0.3358 [2 per cell]
Tm: 0.0000 0.0000 0.3351 [2 per cell]

Among the records above, which one has the highest formation energy?
Pr7Sm3Tm